Entry 1:
VASP calculation (PBE) on a relaxed structure of BeFeMo2.

```
BeFeMo2
1.0
5.953 0.000 0.000
0.000 5.953 0.000
0.000 0.000 5.953
Be Fe Mo
4 4 8
Cartesian
0.000 0.000 0.000
0.000 2.977 2.977
2.977 0.000 2.977
2.977 2.977 0.000
1.488 1.488 4.465
1.488 4.465 1.488
4.465 1.488 1.488
4.465 4.465 4.465
0.000 0.000 2.977
0.000 2.977 0.000
1.488 1.488 1.488
1.488 4.465 4.465
2.977 0.000 0.000
2.977 2.977 2.977
4.465 1.488 4.465
4.465 4.465 1.488
```

Size of the total moment = 1.8 μB/f.u.
ΔE_f = 0.21 eV/atom
Calculated total energy = -131.98 eV for the cell shown



Entry 2:
VASP calculation (PBE) on a relaxed structure of BeFeMo2.

```
BeFeMo2
1.0
2.692 0.000 0.000
-1.346 2.331 0.000
0.000 0.000 25.332
Be Fe Mo
3 3 6
Cartesian
0.000 0.000 0.000
0.000 1.554 16.888
1.346 0.777 8.444
0.000 0.000 12.666
0.000 1.554 4.222
1.346 0.777 21.110
0.000 0.000 6.338
0.000 0.000 18.995
0.000 1.554 10.551
0.000 1.554 23.226
1.346 0.777 2.106
1.346 0.777 14.782
```

Size of the total moment = 0.5 μB/f.u.
ΔE_f = 0.32 eV/atom
Calculated total energy = -97.69 eV for the cell shown



Entry 3:
VASP calculation (PBE) on a relaxed structure of Be2Fe2Mo.

```
Be2Fe2Mo
1.0
6.262 0.000 0.000
0.000 6.262 0.000
0.000 0.000 2.680
Be Fe Mo
4 4 2
Cartesian
0.754 2.378 0.000
2.378 5.509 0.000
3.885 0.754 0.000
5.509 3.885 0.000
1.076 4.207 1.340
2.055 1.076 1.340
4.207 5.186 1.340
5.186 2.055 1.340
0.000 0.000 0.000
3.131 3.131 0.000
```

Size of the total moment = 2.4 μB/f.u.
ΔE_f = -0.05 eV/atom
Relative energy among the computed polymorphs = 0.000 eV/atom
Calculated total energy = -70.93 eV for the cell shown



Entry 4:
VASP calculation (PBE) on a relaxed structure of Be2FeMo.

```
Be2FeMo
1.0
3.359 0.000 0.000
0.000 2.899 0.000
0.000 0.000 8.732
Be Fe Mo
4 2 2
Cartesian
0.000 0.000 0.000
0.000 1.449 4.366
1.680 0.000 1.161
1.680 1.449 5.527
0.000 0.000 6.243
0.000 1.449 1.877
1.680 0.000 3.507
1.680 1.449 7.873
```

Size of the total moment = 1.6 μB/f.u.
ΔE_f = -0.04 eV/atom
Relative energy among the computed polymorphs = 0.063 eV/atom
Calculated total energy = -53.79 eV for the cell shown



Entry 5:
VASP calculation (PBE) on a relaxed structure of BeFe2Mo.

```
BeFe2Mo
1.0
3.858 0.000 0.000
0.000 3.858 0.000
0.000 0.000 3.027
Be Fe Mo
1 2 1
Cartesian
0.000 0.000 0.000
0.000 1.929 1.514
1.929 0.000 1.514
1.929 1.929 0.000
```

Size of the total moment = 0.0 μB/f.u.
ΔE_f = 0.03 eV/atom
Calculated total energy = -31.37 eV for the cell shown



Entry 6:
VASP calculation (PBE) on a relaxed structure of BeFeMo3.

```
BeFeMo3
1.0
4.161 0.000 0.000
0.000 4.161 0.000
0.000 0.000 4.161
Be Fe Mo
1 1 3
Cartesian
0.000 0.000 0.000
2.080 2.080 2.080
0.000 0.000 2.080
0.000 2.080 0.000
2.080 0.000 0.000
```

Size of the total moment = 0.0 μB/f.u.
ΔE_f = 0.94 eV/atom
Relative energy among the computed polymorphs = 0.000 eV/atom
Calculated total energy = -39.99 eV for the cell shown



Entry 7:
VASP calculation (PBE) on a relaxed structure of Be2FeMo.

```
Be2FeMo
1.0
2.603 0.000 0.000
-1.302 2.254 0.000
0.000 0.000 23.903
Be Fe Mo
6 3 3
Cartesian
0.000 0.000 5.839
0.000 0.000 18.064
0.000 1.503 10.096
0.000 1.503 21.774
1.302 0.751 2.129
1.302 0.751 13.807
0.000 0.000 11.952
0.000 1.503 3.984
1.302 0.751 19.919
0.000 0.000 0.000
0.000 1.503 15.935
1.302 0.751 7.968
```

Size of the total moment = 2.2 μB/f.u.
ΔE_f = 0.26 eV/atom
Relative energy among the computed polymorphs = 0.360 eV/atom
Calculated total energy = -77.13 eV for the cell shown



Entry 8:
VASP calculation (PBE) on a relaxed structure of BeFe2Mo.

```
BeFe2Mo
1.0
2.759 0.000 0.000
0.000 2.759 0.000
0.000 0.000 5.993
Be Fe Mo
1 2 1
Cartesian
0.000 0.000 0.000
0.000 0.000 2.542
1.379 1.379 1.169
1.379 1.379 4.354
```

Size of the total moment = 3.2 μB/f.u.
ΔE_f = 0.03 eV/atom
Calculated total energy = -31.35 eV for the cell shown